# 1
An optimized crystal structure of Li2ZrCl, computed with GGA-PBE.

The structure in POSCAR format:
```
Li2ZrCl
1.0
1.638 -2.713 0.000
1.638 2.713 0.000
0.000 0.000 9.345
Li Zr Cl
2 1 1
Direct
0.000 0.000 0.000
0.500 0.500 0.288
0.500 0.500 0.715
0.000 0.000 0.478
```

Properties
DOS at the Fermi energy   2.0 states/eV/f.u.
Excess energy over the best structure of this formula in the dataset   0.1942 eV/atom
Uncorrected formation energy   -0.4008 eV/atom
Space group   Cmm2, No. 35

***

# 2
An optimized crystal structure of Nd3Sm8Tm3, computed with GGA-PBE.

The structure in POSCAR format:
```
Nd3Sm8Tm3
1.0
-2.857 5.441 7.596
2.857 -5.441 7.596
2.857 5.441 -7.596
Nd Sm Tm
3 8 3
Direct
0.000 0.000 0.000
0.181 0.681 0.500
0.819 0.319 0.500
0.119 0.279 0.840
0.236 0.897 0.339
0.439 0.279 0.160
0.441 0.103 0.339
0.559 0.897 0.661
0.561 0.721 0.840
0.764 0.103 0.661
0.881 0.721 0.160
0.202 0.500 0.702
0.500 0.500 0.000
0.798 0.500 0.298
```

Properties
DOS at the Fermi energy   20.7 states/eV/f.u.
Space group   Immm, No. 71
Formation energy   1.42 eV/f.u.

***

# 3
An optimized crystal structure of MnPd3I, computed with GGA-PBE.

The structure in POSCAR format:
```
MnPd3I
1.0
4.667 0.000 0.000
0.000 4.667 0.000
0.000 0.000 4.667
Mn Pd I
1 3 1
Direct
0.000 0.000 0.000
0.000 0.000 0.500
0.000 0.500 0.000
0.500 0.000 0.000
0.500 0.500 0.500
```

Properties
DOS at the Fermi energy   7.3 states/eV/f.u.
Excess energy over the best structure of this formula in the dataset   0.0825 eV/atom
Uncorrected formation energy   0.8696 eV/atom
Space group   Pm-3m, No. 221

***

# 4
An optimized crystal structure of BaCaSiP2, computed with GGA-PBE.

The structure in POSCAR format:
```
BaCaSiP2
1.0
7.329 0.000 0.000
0.000 5.070 0.000
-2.099 0.000 7.532
Ba Ca Si P
2 2 2 4
Direct
0.000 0.224 0.250
0.000 0.776 0.750
0.500 0.476 0.750
0.500 0.524 0.250
0.500 0.000 0.000
0.500 0.000 0.500
0.250 0.260 0.946
0.250 0.740 0.446
0.750 0.260 0.554
0.750 0.740 0.054
```

Properties
DOS at the Fermi energy   3.1 states/eV/f.u.
Uncorrected formation energy   -0.5508 eV/atom
Space group   P2/c, No. 13

***

# 5
An optimized crystal structure of Mg3VI, computed with GGA-PBE.

The structure in POSCAR format:
```
Mg3VI
1.0
5.520 0.000 0.000
0.000 5.520 0.000
0.000 0.000 5.520
Mg V I
3 1 1
Direct
0.000 0.000 0.500
0.000 0.500 0.000
0.500 0.000 0.000
0.500 0.500 0.500
0.000 0.000 0.000
```

Properties
DOS at the Fermi energy   5.5 states/eV/f.u.
Excess energy over the best structure of this formula in the dataset   0.4272 eV/atom
Uncorrected formation energy   1.1166 eV/atom
Space group   Pm-3m, No. 221

***

# 6
An optimized crystal structure of Hg12Bi5Au3, computed with GGA-PBE.

The structure in POSCAR format:
```
Hg12Bi5Au3
1.0
-8.557 8.557 8.557
8.557 -8.557 8.557
8.557 8.557 -8.557
Hg Bi Au
48 20 12
Direct
0.066 0.638 0.397
0.066 0.928 0.670
0.072 0.242 0.138
0.072 0.330 0.934
0.103 0.742 0.670
0.103 0.862 0.434
0.138 0.072 0.242
0.138 0.566 0.897
0.170 0.242 0.603
0.170 0.428 0.566
0.242 0.138 0.072
0.242 0.603 0.170
0.258 0.330 0.897
0.258 0.428 0.362
0.330 0.897 0.258
0.330 0.934 0.072
0.362 0.258 0.428
0.362 0.603 0.934
0.397 0.066 0.638
0.397 0.830 0.758
0.428 0.362 0.258
0.428 0.566 0.170
0.434 0.103 0.862
0.434 0.830 0.572
0.566 0.170 0.428
0.566 0.897 0.138
0.572 0.434 0.830
0.572 0.638 0.742
0.603 0.170 0.242
0.603 0.934 0.362
0.638 0.397 0.066
0.638 0.742 0.572
0.670 0.066 0.928
0.670 0.103 0.742
0.742 0.572 0.638
0.742 0.670 0.103
0.758 0.397 0.830
0.758 0.862 0.928
0.830 0.572 0.434
0.830 0.758 0.397
0.862 0.434 0.103
0.862 0.928 0.758
0.897 0.138 0.566
0.897 0.258 0.330
0.928 0.670 0.066
0.928 0.758 0.862
0.934 0.072 0.330
0.934 0.362 0.603
0.000 0.000 0.000
0.000 0.000 0.500
0.000 0.500 0.000
0.000 0.500 0.500
0.125 0.750 0.875
0.125 0.875 0.250
0.250 0.125 0.875
0.250 0.625 0.375
0.375 0.250 0.625
0.375 0.625 0.750
0.500 0.000 0.000
0.500 0.000 0.500
0.500 0.500 0.000
0.500 0.500 0.500
0.625 0.375 0.250
0.625 0.750 0.375
0.750 0.375 0.625
0.750 0.875 0.125
0.875 0.125 0.750
0.875 0.250 0.125
0.125 0.250 0.375
0.125 0.375 0.750
0.250 0.375 0.125
0.250 0.875 0.625
0.375 0.125 0.250
0.375 0.750 0.125
0.625 0.250 0.875
0.625 0.875 0.750
0.750 0.125 0.375
0.750 0.625 0.875
0.875 0.625 0.250
0.875 0.750 0.625
```

Properties
DOS at the Fermi energy   13.9 states/eV/f.u.
Space group   Ia-3d, No. 230
Formation energy   3.55 eV/f.u.

***

# 7
An optimized crystal structure of TbHo6Sc3, computed with GGA-PBE.

The structure in POSCAR format:
```
TbHo6Sc3
1.0
4.676 -10.141 0.000
4.676 10.141 0.000
0.000 0.000 6.203
Tb Ho Sc
2 12 6
Direct
0.159 0.841 0.500
0.841 0.159 0.000
0.015 0.985 0.279
0.104 0.541 0.813
0.263 0.377 0.069
0.303 0.697 0.279
0.377 0.263 0.569
0.459 0.896 0.813
0.541 0.104 0.313
0.623 0.737 0.069
0.697 0.303 0.779
0.737 0.623 0.569
0.896 0.459 0.313
0.985 0.015 0.779
0.042 0.294 0.473
0.294 0.042 0.973
0.417 0.583 0.590
0.583 0.417 0.090
0.706 0.958 0.473
0.958 0.706 0.973
```

Properties
DOS at the Fermi energy   14.4 states/eV/f.u.
Excess energy over the best structure of this formula in the dataset   0.0000 eV/atom
Space group   Cmc2_1, No. 36
Formation energy   1.27 eV/f.u.

***

# 8
An optimized crystal structure of LaCdAg3, computed with GGA-PBE.

The structure in POSCAR format:
```
LaCdAg3
1.0
6.945 0.000 0.000
-3.473 6.015 0.000
0.000 0.000 5.775
La Cd Ag
2 2 6
Direct
0.333 0.667 0.250
0.667 0.333 0.750
0.000 0.000 0.000
0.000 0.000 0.500
0.200 0.400 0.750
0.200 0.800 0.750
0.400 0.200 0.250
0.600 0.800 0.750
0.800 0.200 0.250
0.800 0.600 0.250
```

Properties
DOS at the Fermi energy   2.9 states/eV/f.u.
Excess energy over the best structure of this formula in the dataset   0.0907 eV/atom
Space group   P6_3/mmc, No. 194
Formation energy   -0.65 eV/f.u.

***

# 9
An optimized crystal structure of NdSm2Ho2Er, computed with GGA-PBE.

The structure in POSCAR format:
```
NdSm2Ho2Er
1.0
6.600 0.000 0.000
0.000 17.915 0.000
0.000 0.000 3.397
Nd Sm Ho Er
2 4 4 2
Direct
0.000 0.000 0.000
0.500 0.500 0.500
0.231 0.315 0.000
0.269 0.815 0.500
0.731 0.185 0.500
0.769 0.685 0.000
0.230 0.147 0.500
0.270 0.647 0.000
0.730 0.353 0.000
0.770 0.853 0.500
0.000 0.500 0.000
0.500 0.000 0.500
```

Properties
DOS at the Fermi energy   9.7 states/eV/f.u.
Space group   Pnnm, No. 58
Formation energy   1.63 eV/f.u.

***

# 10
An optimized crystal structure of Li2PrDy3Se6, computed with GGA-PBE.

The structure in POSCAR format:
```
Li2PrDy3Se6
1.0
3.530 -6.112 0.000
3.530 6.112 0.000
-2.370 0.000 6.708
Li Pr Dy Se
2 1 3 6
Direct
0.169 0.831 0.000
0.831 0.169 0.000
0.500 0.500 0.000
0.000 0.000 0.500
0.336 0.664 0.500
0.664 0.336 0.500
0.072 0.417 0.750
0.238 0.238 0.249
0.417 0.072 0.750
0.583 0.928 0.250
0.762 0.762 0.751
0.928 0.583 0.250
```

Properties
DOS at the Fermi energy   2.7 states/eV/f.u.
Uncorrected formation energy   -1.7273 eV/atom
Space group   C2/m, No. 12

***

# 11
An optimized crystal structure of Ba2MgHgO, computed with GGA-PBE.

The structure in POSCAR format:
```
Ba2MgHgO
1.0
5.811 0.000 0.000
0.000 5.811 0.000
0.000 0.000 4.222
Ba Mg Hg O
2 1 1 1
Direct
0.000 0.500 0.000
0.500 0.000 0.000
0.000 0.000 0.500
0.500 0.500 0.500
0.000 0.000 0.000
```

Properties
DOS at the Fermi energy   3.3 states/eV/f.u.
Uncorrected formation energy   -1.0962 eV/atom
Space group   P4/mmm, No. 123

***

# 12
An optimized crystal structure of Tc2AsRhW, computed with GGA-PBE.

The structure in POSCAR format:
```
Tc2AsRhW
1.0
4.459 0.000 0.000
0.000 4.459 0.000
0.000 0.000 4.588
Tc As Rh W
2 1 1 1
Direct
0.000 0.500 0.000
0.500 0.000 0.000
0.000 0.000 0.000
0.500 0.500 0.500
0.000 0.000 0.500
```

Properties
DOS at the Fermi energy   8.6 states/eV/f.u.
Space group   P4/mmm, No. 123
Formation energy   6.87 eV/f.u.

***

| no. | total moment (Bohr magnetons per cell) |
| --- | --- |
| 1 | 0.00 |
| 2 | 0.00 |
| 3 | 0.00 |
| 4 | 0.00 |
| 5 | 3.72 |
| 6 | 0.00 |
| 7 | 0.01 |
| 8 | 0.00 |
| 9 | 0.01 |
| 10 | 0.00 |
| 11 | 0.00 |
| 12 | 0.00 |